(1)
A plane-wave DFT calculation with PBE was carried out for an optimized crystal structure of AlCuAu. Values from VASP.

Summary:
Formation energy from the elements, eV per atom: -0.1325
Symmetry: R3m
DOS(E_F), states/eV/atom: 0.288

Geometry as Quantum ESPRESSO input:
```
&SYSTEM
  ibrav = 0, nat = 3, ntyp = 3
/
ATOMIC_SPECIES
Cu 63.55 Cu.upf
Au 196.97 Au.upf
Al 26.98 Al.upf
CELL_PARAMETERS angstrom
-1.7919 -3.3996 0.7516
1.8508 -1.8469 2.9149
-2.0915 0.3152 3.2954
ATOMIC_POSITIONS angstrom
Cu -1.4863 -3.6061 5.0910
Au -0.0870 -0.2112 0.2981
Al -0.6893 -1.6722 2.3609
```

***

(2)
A plane-wave DFT calculation with PBE was carried out for an optimized crystal structure of AlCu4Au2. Values from VASP.

Summary:
Formation energy from the elements, eV per atom: -0.0910
Symmetry: I4/mmm
DOS(E_F), states/eV/atom: 0.409

Geometry as Quantum ESPRESSO input:
```
&SYSTEM
  ibrav = 0, nat = 7, ntyp = 3
/
ATOMIC_SPECIES
Al 26.98 Al.upf
Cu 63.55 Cu.upf
Au 196.97 Au.upf
CELL_PARAMETERS angstrom
5.2730 0.0036 -0.0090
-0.0035 5.2730 0.0090
-2.6276 -2.6454 3.8393
ATOMIC_POSITIONS angstrom
Al 2.6393 2.6337 2.1953
Cu 3.9545 1.3203 0.2708
Cu 1.3167 3.9546 0.2768
Cu 1.3181 1.3193 0.2737
Cu 3.9519 3.9567 0.2737
Au 2.6389 -0.0032 2.1896
Au 0.0033 2.6341 2.1985
```